Crystalline CaCeBi6 at its relaxed geometry, computed with PBE.

a b c (Å): 4.964 4.363 12.156
angles (deg): 90.01 101.78 90.00
Each line ends with the local moment (μB).
Fractional coordinates of all 8 atoms:
Bi: 0.316 0.500 0.631  0.00
Bi: 0.686 0.000 0.373  -0.03
Bi: 0.064 0.000 0.128  -0.01
Bi: 0.564 0.500 0.129  0.01
Bi: 0.422 0.000 0.845  0.00
Bi: 0.948 0.500 0.897  0.03
Ce: 0.177 0.500 0.353  0.67
Ca: 0.822 0.000 0.644  0.00

The total magnetization comes out at 0.75 Bohr magnetons per cell. Its formation energy is -0.3024 eV/atom. The space-group type is Amm2, No. 38.